No. 1
The following is a DFT calculation (PBE) of a relaxed structure of TlCo2Au.

abc: 5.1254 5.1254 4.5835
angles: 108.64 108.64 34.73
Atoms (fractional coordinates):
1 Tl 0.0000 0.0000 0.0000
2 Co 0.2320 0.2320 0.7662
3 Co 0.5430 0.5430 0.5335
4 Au 0.7850 0.7850 0.3217

Summary:
Its density of states at the Fermi level is 4.85 states/eV per cell. As for the electronic total energy: -4.554 eV/atom. The calculation puts the formation energy at 0.4099 eV per atom.

No. 2
The following is a DFT calculation (PBE) of a relaxed structure of Pm2BeCu2O6.

abc: 5.8320 5.8320 5.8320
angles: 57.45 57.45 57.45
Atoms (fractional coordinates):
1 Pm 0.2132 0.2132 0.2132
2 Pm 0.7868 0.7868 0.7868
3 Be 0.0000 0.0000 0.0000
4 Cu 0.4139 0.4139 0.4139
5 Cu 0.5861 0.5861 0.5861
6 O 0.2045 0.7715 0.7715
7 O 0.2285 0.2285 0.7955
8 O 0.2285 0.7955 0.2285
9 O 0.7715 0.2045 0.7715
10 O 0.7715 0.7715 0.2045
11 O 0.7955 0.2285 0.2285

Summary:
Its density of states at the Fermi level is 4.27 states/eV per cell. As for the electronic total energy: -6.424 eV/atom.

No. 3
The following is a DFT calculation (PBE) of a relaxed structure of V3HIr.

abc: 3.8456 3.8456 3.8456
angles: 90.00 90.00 90.00
Atoms (fractional coordinates):
1 V 0.0000 0.0000 0.5000
2 V 0.0000 0.5000 0.0000
3 V 0.5000 0.0000 0.0000
4 H 0.0000 0.0000 0.0000
5 Ir 0.5000 0.5000 0.5000

Summary:
Its density of states at the Fermi level is 7.24 states/eV per cell. As for the electronic total energy: -8.165 eV/atom. The value obtained for the distance to the lowest polymorph of the same formula is 0.00 eV per formula unit.

No. 4
The following is a DFT calculation (PBE) of a relaxed structure of Sc4CuNi.

abc: 5.5451 5.5451 5.5451
angles: 60.00 60.00 60.00
Atoms (fractional coordinates):
1 Sc 0.3756 0.3756 0.3756
2 Sc 0.3756 0.3756 0.8732
3 Sc 0.3756 0.8732 0.3756
4 Sc 0.8732 0.3756 0.3756
5 Cu 0.0000 0.0000 0.0000
6 Ni 0.7500 0.7500 0.7500

Summary:
Its density of states at the Fermi level is 7.80 states/eV per cell. As for the electronic total energy: -5.289 eV/atom. The calculation puts the formation energy at 0.5780 eV per atom. The value obtained for the distance to the lowest polymorph of the same formula is 5.17 eV per formula unit.

No. 5
The following is a DFT calculation (PBE) of a relaxed structure of La4CeNd4.

abc: 8.2290 8.2290 8.2290
angles: 95.82 95.82 142.85
Atoms (fractional coordinates):
1 La 0.0000 0.3286 0.3286
2 La 0.0000 0.6714 0.6714
3 La 0.3286 0.0000 0.3286
4 La 0.6714 0.0000 0.6714
5 Ce 0.0000 0.0000 0.0000
6 Nd 0.3372 0.3372 0.6744
7 Nd 0.3372 0.6628 0.0000
8 Nd 0.6628 0.3372 0.0000
9 Nd 0.6628 0.6628 0.3256

Summary:
Its density of states at the Fermi level is 19.53 states/eV per cell. As for the electronic total energy: -4.924 eV/atom. The calculation puts the formation energy at 0.0442 eV per atom.

No. 6
The following is a DFT calculation (PBE) of a relaxed structure of Hf2NiPdRu.

abc: 4.8811 4.8811 4.4614
angles: 90.00 90.00 90.00
Atoms (fractional coordinates):
1 Hf 0.0000 0.5000 0.0000
2 Hf 0.5000 0.0000 0.0000
3 Ni 0.0000 0.0000 0.5000
4 Pd 0.5000 0.5000 0.5000
5 Ru 0.0000 0.0000 0.0000

Summary:
Its density of states at the Fermi level is 4.19 states/eV per cell. As for the electronic total energy: -7.546 eV/atom. The calculation puts the formation energy at 0.4850 eV per atom.

No. 7
The following is a DFT calculation (PBE) of a relaxed structure of In4PbCl6.

abc: 8.9995 8.9995 8.9995
angles: 90.92 90.92 90.92
Atoms (fractional coordinates):
1 In 0.1002 0.7500 0.3998
2 In 0.2500 0.2500 0.2500
3 In 0.2500 0.6002 0.8998
4 In 0.3998 0.1002 0.7500
5 In 0.6002 0.8998 0.2500
6 In 0.7500 0.3998 0.1002
7 In 0.7500 0.7500 0.7500
8 In 0.8998 0.2500 0.6002
9 Pb 0.0000 0.0000 0.0000
10 Pb 0.5000 0.5000 0.5000
11 Cl 0.0536 0.9273 0.6904
12 Cl 0.0727 0.3096 0.9464
13 Cl 0.1904 0.4273 0.5536
14 Cl 0.3096 0.9464 0.0727
15 Cl 0.4273 0.5536 0.1904
16 Cl 0.4464 0.8096 0.5727
17 Cl 0.5536 0.1904 0.4273
18 Cl 0.5727 0.4464 0.8096
19 Cl 0.6904 0.0536 0.9273
20 Cl 0.8096 0.5727 0.4464
21 Cl 0.9273 0.6904 0.0536
22 Cl 0.9464 0.0727 0.3096

Summary:
Its density of states at the Fermi level is 0.00 states/eV per cell. As for the electronic total energy: -3.224 eV/atom.

No. 8
The following is a DFT calculation (PBE) of a relaxed structure of Dy2Ho5Tl.

abc: 11.1458 11.1458 11.1458
angles: 161.73 145.37 39.43
Atoms (fractional coordinates):
1 Dy 0.2391 0.2391 0.0000
2 Dy 0.7609 0.7609 0.0000
3 Ho 0.0000 0.0000 0.0000
4 Ho 0.1350 0.3852 0.7498
5 Ho 0.3646 0.6148 0.7498
6 Ho 0.6354 0.3852 0.2502
7 Ho 0.8650 0.6148 0.2502
8 Tl 0.5000 0.0000 0.5000

Summary:
Its density of states at the Fermi level is 11.49 states/eV per cell. As for the electronic total energy: -4.295 eV/atom. The calculation puts the formation energy at 0.0120 eV per atom. The value obtained for the distance to the lowest polymorph of the same formula is 0.50 eV per formula unit.

No. 9
The following is a DFT calculation (PBE) of a relaxed structure of H3Pd3Au.

abc: 5.3189 5.3189 5.3189
angles: 90.00 90.00 90.00
Atoms (fractional coordinates):
1 H 0.0000 0.2500 0.5000
2 H 0.0000 0.7500 0.5000
3 H 0.2500 0.5000 0.0000
4 H 0.5000 0.0000 0.2500
5 H 0.5000 0.0000 0.7500
6 H 0.7500 0.5000 0.0000
7 Pd 0.0000 0.5000 0.2500
8 Pd 0.0000 0.5000 0.7500
9 Pd 0.2500 0.0000 0.5000
10 Pd 0.5000 0.2500 0.0000
11 Pd 0.5000 0.7500 0.0000
12 Pd 0.7500 0.0000 0.5000
13 Au 0.0000 0.0000 0.0000
14 Au 0.5000 0.5000 0.5000

Summary:
Its density of states at the Fermi level is 4.61 states/eV per cell. As for the electronic total energy: -4.149 eV/atom. The value obtained for the distance to the lowest polymorph of the same formula is 0.00 eV per formula unit.

No. 10
The following is a DFT calculation (PBE) of a relaxed structure of Cs2SrHfCl6.

abc: 7.7014 7.7014 7.7014
angles: 60.00 60.00 60.00
Atoms (fractional coordinates):
1 Cs 0.2500 0.2500 0.2500
2 Cs 0.7500 0.7500 0.7500
3 Sr 0.0000 0.0000 0.0000
4 Hf 0.5000 0.5000 0.5000
5 Cl 0.2632 0.2632 0.7368
6 Cl 0.2632 0.7368 0.2632
7 Cl 0.2632 0.7368 0.7368
8 Cl 0.7368 0.2632 0.2632
9 Cl 0.7368 0.2632 0.7368
10 Cl 0.7368 0.7368 0.2632

Summary:
Its density of states at the Fermi level is 7.09 states/eV per cell. As for the electronic total energy: -4.261 eV/atom.

The lowest electronic total energy belongs to which entry?
V3HIr